[1]
{
  "formula": "LaBe2As",
  "functional": "PBE",
  "state": "optimized geometry",
  "formation_energy_ev_per_atom": 0.05,
  "spacegroup": "Immm (71)",
  "energy_ev_per_atom": -4.208,
  "cell": [[-1.9613, 2.8719, 3.3085], [1.9613, -2.8719, 3.3085], [1.9613, 2.8719, -3.3085]],
  "species": ["La", "Be", "Be", "As"],
  "frac_coords": [[0.0000, 0.0000, 0.0000], [0.3274, 0.8274, 0.5000], [0.6726, 0.1726, 0.5000], [0.5000, 0.5000, 0.0000]]
}


[2]
{
  "formula": "LiCrCl2",
  "functional": "PBE",
  "state": "optimized geometry",
  "spacegroup": "P2/m (10)",
  "de_polymorph_mev_per_atom": 123,
  "energy_ev_per_atom": -4.715,
  "cell": [[6.4395, 0.0000, 0.0000], [0.0000, 3.4978, 0.0000], [-0.5464, 0.0000, 6.7677]],
  "species": ["Li", "Li", "Cr", "Cr", "Cl", "Cl", "Cl", "Cl"],
  "frac_coords": [[0.0000, 0.0000, 0.0000], [0.5000, 0.0000, 0.0000], [0.1346, 0.5000, 0.5087], [0.8654, 0.5000, 0.4913], [0.2404, 0.5000, 0.8549], [0.2712, 0.0000, 0.3011], [0.7288, 0.0000, 0.6989], [0.7596, 0.5000, 0.1451]]
}


[3]
{
  "formula": "PmNd2S3",
  "functional": "PBE",
  "state": "optimized geometry",
  "spacegroup": "Immm (71)",
  "energy_ev_per_atom": -6.472,
  "cell": [[-2.0324, 2.8672, 6.0783], [2.0324, -2.8672, 6.0783], [2.0324, 2.8672, -6.0783]],
  "species": ["Pm", "Nd", "Nd", "S", "S", "S"],
  "frac_coords": [[0.0000, 0.0000, 0.0000], [0.3326, 0.3326, 0.0000], [0.6674, 0.6674, 0.0000], [0.1649, 0.6649, 0.5000], [0.5000, 0.0000, 0.5000], [0.8351, 0.3351, 0.5000]]
}


[4]
{
  "formula": "Al2InGaSe",
  "functional": "PBE",
  "state": "optimized geometry",
  "spacegroup": "P4/mmm (123)",
  "energy_ev_per_atom": -2.799,
  "cell": [[4.9735, 0.0000, 0.0000], [0.0000, 4.9735, 0.0000], [0.0000, 0.0000, 5.9278]],
  "species": ["Al", "Al", "In", "Ga", "Se"],
  "frac_coords": [[0.0000, 0.5000, 0.0000], [0.5000, 0.0000, 0.0000], [0.0000, 0.0000, 0.5000], [0.5000, 0.5000, 0.5000], [0.0000, 0.0000, 0.0000]]
}


[5]
{
  "formula": "Pr2B3Cl",
  "functional": "PBE",
  "state": "optimized geometry",
  "spacegroup": "P6_3/mmc (194)",
  "energy_ev_per_atom": -5.798,
  "cell": [[3.5910, 0.0000, 0.0000], [-1.7955, 3.1099, 0.0000], [0.0000, 0.0000, 17.8623]],
  "species": ["Pr", "Pr", "Pr", "Pr", "B", "B", "B", "B", "B", "B", "Cl", "Cl"],
  "frac_coords": [[0.3333, 0.6667, 0.1300], [0.3333, 0.6667, 0.3700], [0.6667, 0.3333, 0.6300], [0.6667, 0.3333, 0.8700], [0.1665, 0.3329, 0.7500], [0.1665, 0.8335, 0.7500], [0.3329, 0.1665, 0.2500], [0.6671, 0.8335, 0.7500], [0.8335, 0.1665, 0.2500], [0.8335, 0.6671, 0.2500], [0.0000, 0.0000, 0.0000], [0.0000, 0.0000, 0.5000]]
}


[6]
{
  "formula": "YGeAs3",
  "functional": "PBE",
  "state": "optimized geometry",
  "formation_energy_ev_per_atom": 0.58,
  "spacegroup": "Pm-3m (221)",
  "de_polymorph_mev_per_atom": 457,
  "energy_ev_per_atom": -4.427,
  "cell": [[5.3730, 0.0000, 0.0000], [0.0000, 5.3730, 0.0000], [0.0000, 0.0000, 5.3730]],
  "species": ["Y", "Ge", "As", "As", "As"],
  "frac_coords": [[0.0000, 0.0000, 0.0000], [0.5000, 0.5000, 0.5000], [0.0000, 0.0000, 0.5000], [0.0000, 0.5000, 0.0000], [0.5000, 0.0000, 0.0000]]
}


[7]
{
  "formula": "ZnSNF2",
  "functional": "PBE",
  "state": "optimized geometry",
  "spacegroup": "P4/mmm (123)",
  "de_polymorph_mev_per_atom": 0,
  "energy_ev_per_atom": -3.475,
  "cell": [[4.6107, 0.0000, 0.0000], [0.0000, 4.6107, 0.0000], [0.0000, 0.0000, 3.2792]],
  "species": ["Zn", "S", "N", "F", "F"],
  "frac_coords": [[0.0000, 0.0000, 0.0000], [0.5000, 0.5000, 0.5000], [0.5000, 0.5000, 0.0000], [0.0000, 0.5000, 0.5000], [0.5000, 0.0000, 0.5000]]
}


[8]
{
  "formula": "LiCaPr",
  "functional": "PBE",
  "state": "optimized geometry",
  "formation_energy_ev_per_atom": 0.12,
  "spacegroup": "P3m1 (156)",
  "de_polymorph_mev_per_atom": 95,
  "energy_ev_per_atom": -2.779,
  "cell": [[3.6703, 0.0000, 0.0000], [-1.8352, 3.1786, 0.0000], [0.0000, 0.0000, 8.6438]],
  "species": ["Li", "Ca", "Pr"],
  "frac_coords": [[0.0000, 0.0000, 0.0000], [0.6667, 0.3333, 0.3242], [0.3333, 0.6667, 0.6856]]
}